Below is SrHfGa2 after structural relaxation, with properties calculated at the PBE level.

Cell lengths 9.929, 9.929, 9.929 Å; angles 150.14, 150.14, 42.74 degrees
Fractional coordinates of all 8 atoms:
Sr 0.000 0.000 0.000
Sr 0.750 0.250 0.500
Hf 0.250 0.750 0.500
Hf 0.500 0.500 0.000
Ga 0.252 0.625 0.127
Ga 0.375 0.502 0.627
Ga 0.498 0.125 0.873
Ga 0.875 0.748 0.373

Computed properties:
ΔE to the lowest computed polymorph   0.535 eV/atom
DFT formation energy   1.0 eV per formula unit
Total DFT energy (no corrections)   -4.18 eV per atom
Symmetry   I-42d, No. 122